# 1
Below is a relaxed ZrTiCrFe crystal, with properties calculated at the PBE-GGA level.

Output
* volume: 60 Å³ per cell
* E_form: -0.028 eV/atom

Lattice parameters (Å, degrees): 4.399 4.399 4.399 60.00 60.00 60.00
Last column: magnetic moment on the atom in μB.
Fractional positions:
Cr (0.250, 0.250, 0.250)  1.45
Fe (0.750, 0.750, 0.750)  0.54
Zr (0.000, 0.000, 0.000)  -0.12
Ti (0.500, 0.500, 0.500)  -0.35

# 2
Below is a relaxed ZrTiCr2Fe2 crystal, with properties calculated at the PBE-GGA level.

Output
* volume: 166 Å³ per cell
* E_form: -0.155 eV/atom

Lattice parameters (Å, degrees): 4.931 4.896 7.906 90.00 89.99 119.76
Last column: magnetic moment on the atom in μB.
Fractional positions:
Zr (0.332, 0.666, 0.072)  -0.18
Zr (0.667, 0.334, 0.934)  -0.04
Ti (0.667, 0.333, 0.555)  -0.07
Ti (0.331, 0.666, 0.443)  -0.24
Cr (0.998, 0.999, 0.501)  -0.23
Cr (0.999, 0.000, 0.997)  0.03
Cr (0.173, 0.343, 0.741)  0.08
Cr (0.173, 0.830, 0.741)  0.08
Fe (0.658, 0.829, 0.742)  -0.01
Fe (0.831, 0.662, 0.258)  1.45
Fe (0.831, 0.169, 0.258)  1.45
Fe (0.340, 0.170, 0.258)  1.52